[1]
{"formula": "Al2BRh", "functional": "PBE", "state": "relaxed", "cell": [[-3.746, 3.746, 2.097], [3.746, -3.746, 2.097], [3.746, 3.746, -2.097]], "species": ["Al", "Al", "Al", "Al", "B", "B", "Rh", "Rh"], "frac_coords": [[0.000, 0.625, 0.875], [0.375, 0.250, 0.375], [0.750, 0.125, 0.125], [0.875, 0.000, 0.625], [0.000, 0.000, 0.000], [0.750, 0.250, 0.500], [0.250, 0.750, 0.500], [0.500, 0.500, 0.000]]}

---

[2]
{"formula": "Zr6BiSb3", "functional": "PBE", "state": "relaxed", "cell": [[4.800, -7.019, 0.000], [4.800, 7.019, 0.000], [0.000, 0.000, 7.370]], "species": ["Zr", "Zr", "Zr", "Zr", "Zr", "Zr", "Zr", "Zr", "Zr", "Zr", "Zr", "Zr", "Bi", "Bi", "Sb", "Sb", "Sb", "Sb", "Sb", "Sb"], "frac_coords": [[0.034, 0.966, 0.500], [0.063, 0.479, 0.026], [0.242, 0.354, 0.359], [0.271, 0.729, 0.338], [0.354, 0.242, 0.859], [0.479, 0.063, 0.526], [0.521, 0.937, 0.026], [0.646, 0.758, 0.359], [0.729, 0.271, 0.838], [0.758, 0.646, 0.859], [0.937, 0.521, 0.526], [0.966, 0.034, 0.000], [0.195, 0.805, 0.763], [0.805, 0.195, 0.263], [0.067, 0.287, 0.699], [0.287, 0.067, 0.199], [0.434, 0.566, 0.052], [0.566, 0.434, 0.552], [0.713, 0.933, 0.699], [0.933, 0.713, 0.199]], "formation_energy_uncorrected_mev_per_atom": -421}

---

[3]
{"formula": "Tc4Ir5", "functional": "PBE", "state": "relaxed", "cell": [[-4.106, 4.106, 1.934], [4.106, -4.106, 1.934], [4.106, 4.106, -1.934]], "species": ["Tc", "Tc", "Tc", "Tc", "Ir", "Ir", "Ir", "Ir", "Ir"], "frac_coords": [[0.000, 0.336, 0.336], [0.000, 0.664, 0.664], [0.336, 0.000, 0.336], [0.664, 0.000, 0.664], [0.000, 0.000, 0.000], [0.332, 0.332, 0.664], [0.332, 0.668, 0.000], [0.668, 0.332, 0.000], [0.668, 0.668, 0.336]], "e_above_lowest_polymorph_mev_per_atom": 0}

---

[4]
{"formula": "CsCeSc4S8", "functional": "PBE", "state": "relaxed", "cell": [[3.921, 2.264, 6.953], [-3.921, 2.264, 6.953], [0.000, -4.528, 6.953]], "species": ["Cs", "Ce", "Sc", "Sc", "Sc", "Sc", "S", "S", "S", "S", "S", "S", "S", "S"], "frac_coords": [[0.000, 0.000, 0.000], [0.646, 0.646, 0.646], [0.126, 0.643, 0.643], [0.267, 0.267, 0.267], [0.643, 0.126, 0.643], [0.643, 0.643, 0.126], [0.390, 0.390, 0.879], [0.390, 0.879, 0.390], [0.397, 0.397, 0.397], [0.451, 0.884, 0.884], [0.861, 0.861, 0.861], [0.879, 0.390, 0.390], [0.884, 0.451, 0.884], [0.884, 0.884, 0.451]], "formation_energy_uncorrected_mev_per_atom": -1667}

---

[5]
{"formula": "Ho5Hg4Pd", "functional": "PBE", "state": "relaxed", "cell": [[3.652, 0.000, 0.000], [0.000, 3.652, 0.000], [0.000, 0.000, 18.402]], "species": ["Ho", "Ho", "Ho", "Ho", "Ho", "Hg", "Hg", "Hg", "Hg", "Pd"], "frac_coords": [[0.000, 0.000, 0.000], [0.000, 0.000, 0.205], [0.000, 0.000, 0.410], [0.000, 0.000, 0.590], [0.000, 0.000, 0.795], [0.500, 0.500, 0.103], [0.500, 0.500, 0.305], [0.500, 0.500, 0.695], [0.500, 0.500, 0.897], [0.500, 0.500, 0.500]]}

---

[6]
{"formula": "Ce3Mg2Sn4", "functional": "PBE", "state": "relaxed", "cell": [[5.876, -2.445, 0.000], [5.876, 2.445, 0.000], [-4.372, 0.000, 8.375]], "species": ["Ce", "Ce", "Ce", "Mg", "Mg", "Sn", "Sn", "Sn", "Sn"], "frac_coords": [[0.000, 0.000, 0.000], [0.356, 0.356, 0.324], [0.644, 0.644, 0.676], [0.350, 0.350, 0.688], [0.650, 0.650, 0.312], [0.078, 0.078, 0.397], [0.298, 0.298, 0.954], [0.702, 0.702, 0.046], [0.922, 0.922, 0.603]]}

---

[7]
{"formula": "TbEr2Cd", "functional": "PBE", "state": "relaxed", "cell": [[4.827, 0.000, 0.000], [0.000, 4.827, 0.000], [0.000, 0.000, 4.818]], "species": ["Tb", "Er", "Er", "Cd"], "frac_coords": [[0.000, 0.000, 0.000], [0.000, 0.500, 0.500], [0.500, 0.000, 0.500], [0.500, 0.500, 0.000]], "e_above_lowest_polymorph_mev_per_atom": 61}

---

[8]
{"formula": "NdPaZnIr", "functional": "PBE", "state": "relaxed", "cell": [[0.000, 3.545, 3.545], [3.545, 0.000, 3.545], [3.545, 3.545, 0.000]], "species": ["Nd", "Pa", "Zn", "Ir"], "frac_coords": [[0.000, 0.000, 0.000], [0.500, 0.500, 0.500], [0.250, 0.250, 0.250], [0.750, 0.750, 0.750]]}

---

The records above yield raw total energy values of -42.49; -143.49; -87.03; -88.48; -34.93; -41.23; -15.02; -25.48 eV for the cell shown, respectively.